Material: Ba3MgU2Se9
Method: DFT, PBE
State: optimized geometry

Output
Total DFT energy (no corrections), eV per atom: -5.5574
Fermi-level density of states, states/eV/cell: 5.663

Unit cell a=7.5709 b=7.5709 c=9.3549 alpha=90.00 beta=90.00 gamma=120.00
Last column: magnetic moment on the atom in μB.
Element x y z (fractional)
Ba 0.3333 0.6667 0.6486  0.00
Ba 0.0000 0.0000 0.0000  0.00
Ba 0.6667 0.3333 0.3514  0.00
Mg 0.0000 0.0000 0.5000  -0.01
U 0.3333 0.6667 0.1777  1.22
U 0.6667 0.3333 0.8223  1.22
Se 0.8362 0.1638 0.6648  -0.04
Se 0.8362 0.6724 0.6648  -0.04
Se 0.3276 0.1638 0.6648  -0.04
Se 0.6724 0.8362 0.3352  -0.04
Se 0.1638 0.3276 0.3352  -0.04
Se 0.1638 0.8362 0.3352  -0.04
Se 0.5000 0.0000 0.0000  -0.05
Se 0.0000 0.5000 0.0000  -0.05
Se 0.5000 0.5000 0.0000  -0.05

=====

Material: BaMg6Si2
Method: DFT, PBE
State: optimized geometry

Output
Total DFT energy (no corrections), eV per atom: -2.6483
Fermi-level density of states, states/eV/cell: 5.136

Unit cell a=4.5537 b=4.5537 c=10.2850 alpha=90.00 beta=90.00 gamma=90.00
Element x y z (fractional)
Ba 0.0000 0.0000 0.0000
Mg 0.0000 0.5000 0.2786
Mg 0.5000 0.0000 0.2786
Mg 0.0000 0.5000 0.7214
Mg 0.5000 0.0000 0.7214
Mg 0.5000 0.5000 0.5000
Mg 0.0000 0.0000 0.5000
Si 0.5000 0.5000 0.1219
Si 0.5000 0.5000 0.8781

=====

Material: BaMg2Si
Method: DFT, PBE
State: optimized geometry

Output
Fermi-level density of states, states/eV/cell: 5.775
Energy above the lowest structure with this stoichiometry, meV per atom: 352

Unit cell a=5.4837 b=5.4837 c=10.0070 alpha=74.10 beta=74.10 gamma=90.00
Element x y z (fractional)
Mg 0.3749 0.1250 0.2500
Mg 0.3751 0.6250 0.2500
Mg 0.3750 0.6251 0.7500
Mg 0.8750 0.6249 0.7500
Si 0.5000 0.5000 0.0000
Si 0.2500 0.7500 0.5000
Ba 0.0000 0.0000 0.0000
Ba 0.7500 0.2500 0.5000

=====

Material: BaMg2Si
Method: DFT, PBE
State: optimized geometry

Output
Fermi-level density of states, states/eV/cell: 1.202
Energy above the lowest structure with this stoichiometry, meV per atom: 107

Unit cell a=4.4308 b=4.3755 c=6.9469 alpha=71.23 beta=90.00 gamma=90.00
Element x y z (fractional)
Ba 0.5000 0.7315 0.6558
Mg 0.0000 0.9724 0.1857
Mg 0.5000 0.4540 0.2179
Si 0.0000 0.3421 0.4407

=====

Material: Ba5Mg4Si4
Method: DFT, PBE
State: optimized geometry

Output
Total DFT energy (no corrections), eV per atom: -3.1779
Fermi-level density of states, states/eV/cell: 6.225

Unit cell a=4.7393 b=9.4465 c=9.4465 alpha=86.39 beta=75.47 gamma=75.47
Element x y z (fractional)
Ba 0.7074 0.9263 0.6590
Ba 0.2926 0.0737 0.3410
Ba 0.0000 0.0000 0.0000
Ba 0.6336 0.6590 0.0737
Ba 0.3664 0.3410 0.9263
Mg 0.8947 0.5320 0.6787
Mg 0.5733 0.3213 0.5320
Mg 0.1053 0.4680 0.3213
Mg 0.4267 0.6787 0.4680
Si 0.7216 0.3268 0.2300
Si 0.2784 0.6732 0.7700
Si 0.9516 0.7700 0.3268
Si 0.0484 0.2300 0.6732

=====

Material: Ba4MgSi
Method: DFT, PBE
State: optimized geometry

Output
Total DFT energy (no corrections), eV per atom: -1.8813
Fermi-level density of states, states/eV/cell: 6.970

Unit cell a=7.1923 b=7.1923 c=7.1923 alpha=60.00 beta=60.00 gamma=60.00
Element x y z (fractional)
Ba 0.8790 0.3737 0.3737
Ba 0.3737 0.3737 0.8790
Ba 0.3737 0.8790 0.3737
Ba 0.3737 0.3737 0.3737
Mg 0.7500 0.7500 0.7500
Si 0.0000 0.0000 0.0000

=====

Material: Ba3Mg4Si4
Method: DFT, PBE
State: optimized geometry

Output
Total DFT energy (no corrections), eV per atom: -3.3884
Fermi-level density of states, states/eV/cell: 1.508

Unit cell a=4.9051 b=7.4345 c=9.0734 alpha=114.19 beta=105.68 gamma=90.00
Element x y z (fractional)
Ba 0.1224 0.1224 0.2448
Ba 0.8776 0.8776 0.7552
Ba 0.0000 0.5000 0.0000
Mg 0.3297 0.1271 0.6594
Mg 0.6703 0.4676 0.3406
Mg 0.6703 0.8729 0.3406
Mg 0.3297 0.5324 0.6594
Si 0.2166 0.7166 0.4333
Si 0.7834 0.2834 0.5667
Si 0.5000 0.8336 0.0000
Si 0.5000 0.1664 0.0000

=====

Material: Ba2Mg3Si4
Method: DFT, PBE
State: optimized geometry

Output
Total DFT energy (no corrections), eV per atom: -3.7212
Fermi-level density of states, states/eV/cell: 4.724

Unit cell a=6.5121 b=6.5121 c=15.6875 alpha=85.45 beta=85.45 gamma=41.67
Element x y z (fractional)
Ba 0.0595 0.0595 0.1346
Ba 0.9405 0.9405 0.8654
Ba 0.1583 0.1583 0.4098
Ba 0.8417 0.8417 0.5902
Mg 0.7807 0.7807 0.0690
Mg 0.2193 0.2193 0.9310
Mg 0.8937 0.8937 0.3455
Mg 0.1063 0.1063 0.6545
Mg 0.3382 0.3382 0.2051
Mg 0.6618 0.6618 0.7949
Si 0.7201 0.7201 0.2461
Si 0.2799 0.2799 0.7539
Si 0.4398 0.4398 0.4426
Si 0.5602 0.5602 0.5574
Si 0.5988 0.5988 0.9706
Si 0.4012 0.4012 0.0294
Si 0.5239 0.5239 0.2954
Si 0.4761 0.4761 0.7046

=====

Material: Ba2MgSi
Method: DFT, PBE
State: optimized geometry

Output
Fermi-level density of states, states/eV/cell: 2.474
Energy above the lowest structure with this stoichiometry, meV per atom: 0

Unit cell a=4.7101 b=5.0457 c=6.8264 alpha=68.25 beta=90.00 gamma=90.00
Element x y z (fractional)
Ba 0.0000 0.9877 0.8995
Ba 0.5000 0.2744 0.3264
Mg 0.0000 0.6748 0.5257
Si 0.5000 0.5631 0.7484

=====

Material: BaMgSi
Method: DFT, PBE
State: optimized geometry

Output
Total DFT energy (no corrections), eV per atom: -3.1533

Unit cell a=5.1624 b=5.1624 c=5.1624 alpha=60.00 beta=60.00 gamma=60.00
Element x y z (fractional)
Ba 0.0000 0.0000 0.0000
Mg 0.5000 0.5000 0.5000
Si 0.7500 0.7500 0.7500

=====

Material: BaMg2Si
Method: DFT, PBE
State: optimized geometry

Output
Fermi-level density of states, states/eV/cell: 1.589
Energy above the lowest structure with this stoichiometry, meV per atom: 252

Unit cell a=5.4083 b=5.4083 c=5.4083 alpha=124.31 beta=117.11 gamma=88.90
Element x y z (fractional)
Ba 0.7403 0.2403 0.5000
Mg 0.0206 0.0206 0.0000
Mg 0.2757 0.7757 0.5000
Si 0.4633 0.4633 0.0000

=====

Material: Ba2MgSi
Method: DFT, PBE
State: optimized geometry

Output
Fermi-level density of states, states/eV/cell: 0.544
Energy above the lowest structure with this stoichiometry, meV per atom: 68

Unit cell a=5.8521 b=5.8521 c=5.8521 alpha=60.00 beta=60.00 gamma=60.00
Element x y z (fractional)
Mg 0.0000 0.0000 0.0000
Si 0.5000 0.5000 0.5000
Ba 0.2500 0.2500 0.2500
Ba 0.7500 0.7500 0.7500